Below is an optimized crystal structure of CoTe2O4, with properties calculated at the PBE+U level.

a b c (Å): 6.632 6.632 9.311
angles (deg): 90.00 90.00 90.00
Space group I4_1/amd (No. 141, origin choice 2)
Symmetry-distinct sites (fractional):
Co1 0.000 0.250 0.375
Te1 0.000 0.000 0.000
O1 0.000 0.006 0.252

Properties
total DFT energy (no corrections): -136.27 eV/cell
size of the total moment: 2.29 μB per formula unit
theoretical density: 6.133 g/cm3